Dy4MgPd: relaxed, GGA-PBE.

space-group type: No. 15
energy relative to the lowest polymorph listed for this composition: 0.1127 eV per atom

a b c (Å): 6.0506 9.2044 7.8878
angles (deg): 116.25 99.71 111.61
Closest atoms and distances in Å follow each position.
Fractional positions:
Dy  0.7568  0.3751  0.1805  2 Pd 3.08-3.12, 2 Mg 3.27-3.37
Dy  0.2432  0.6249  0.8195  2 Pd 3.08-3.12, 2 Mg 3.27-3.37
Dy  0.3827  0.9328  0.6497  2 Pd 2.88-2.89
Dy  0.6173  0.0672  0.3503  2 Pd 2.88-2.89
Dy  0.0763  0.1946  0.8195  2 Pd 3.08-3.12, 2 Mg 3.27-3.37
Mg  0.6328  0.3828  0.7656  8 Dy 3.23-3.44
Pd  0.2505  0.0005  0.0010  8 Dy 2.88-3.12, 2 Pd 3.03
Dy  0.7670  0.7169  0.6497  2 Pd 2.88-2.89
Dy  0.2330  0.2831  0.3503  2 Pd 2.88-2.89
Mg  0.3672  0.6172  0.2344  8 Dy 3.23-3.44
Dy  0.9237  0.8054  0.1805  2 Pd 3.08-3.12, 2 Mg 3.27-3.37
Pd  0.7495  0.9995  0.9990  8 Dy 2.88-3.12, 2 Pd 3.03

***

Sc6Zn7: relaxed, GGA-PBE.

space-group type: No. 166

a b c (Å): 10.1701 10.1701 10.1701
angles (deg): 30.50 30.50 30.50
Closest atoms and distances in Å follow each position.
Fractional positions:
Sc  0.1557  0.1557  0.1557  12 Zn 2.93-3.26, 4 Sc 3.04-3.15
Zn  0.0904  0.5927  0.5927  5 Zn 2.66-2.69, 3 Sc 2.93
Zn  0.5927  0.0904  0.5927  5 Zn 2.66-2.69, 3 Sc 2.93
Sc  0.9488  0.9488  0.9488  6 Zn 2.93, 2 Sc 2.97-3.04
Zn  0.5000  0.5000  0.5000  6 Zn 2.67
Sc  0.3327  0.3327  0.3327  6 Zn 3.07-3.11, 6 Sc 3.09-3.42
Sc  0.6673  0.6673  0.6673  6 Zn 3.07-3.11, 6 Sc 3.09-3.42
Sc  0.0512  0.0512  0.0512  6 Zn 2.93, 2 Sc 2.97-3.04
Zn  0.9096  0.4073  0.4073  5 Zn 2.66-2.69, 3 Sc 2.93
Zn  0.4073  0.9096  0.4073  5 Zn 2.66-2.69, 3 Sc 2.93
Sc  0.8443  0.8443  0.8443  12 Zn 2.93-3.26, 4 Sc 3.04-3.15
Zn  0.4073  0.4073  0.9096  5 Zn 2.66-2.69, 3 Sc 2.93
Zn  0.5927  0.5927  0.0904  5 Zn 2.66-2.69, 3 Sc 2.93

***

no.,E (eV per atom)
1,-4.445
2,-3.861